Record 1
Material: SiSe2O
Method: DFT, GGA-PBEsol
State: optimized geometry

D(E_F)	0.458	states/eV per atom
ΔE_f (raw)	0.2089	eV per atom
distance to the lowest polymorph of the same formula	0	meV per atom
space group	No. 122
E	-0.1641	Ha/atom
magnetic moment	0.00	μB per formula unit

Geometry as CIF:
```
data_SiSe2O
_symmetry_space_group_name_H-M 'P 1'
_symmetry_Int_Tables_number 1
_cell_length_a 5.8157
_cell_length_b 5.8157
_cell_length_c 5.8157
_cell_angle_alpha 94.77
_cell_angle_beta 117.29
_cell_angle_gamma 117.29
loop_
_symmetry_equiv_pos_as_xyz
'x,y,z'
loop_
_atom_site_label
_atom_site_type_symbol
_atom_site_fract_x
_atom_site_fract_y
_atom_site_fract_z
O1 O 0.5000 0.2500 0.7500
Si1 Si 0.5000 0.7500 0.2500
Se1 Se 0.0109 0.1359 0.6250
Se2 Se 0.4891 0.8750 0.8641
Se3 Se 0.5109 0.3750 0.3859
Si2 Si 0.0000 0.0000 0.0000
Se4 Se 0.9891 0.6141 0.1250
O2 O 0.0000 0.5000 0.5000
```

---

Record 2
Material: Sc2PtC
Method: DFT, GGA-PBEsol
State: optimized geometry

calculated formation energy	-1.369	eV per formula unit
D(E_F)	0.210	states/eV per atom
space group	No. 122
E	-0.2865	Ha/atom
magnetic moment	0.00	μB per formula unit

Geometry as CIF:
```
data_Sc2PtC
_symmetry_space_group_name_H-M 'P 1'
_symmetry_Int_Tables_number 1
_cell_length_a 5.6074
_cell_length_b 5.6074
_cell_length_c 5.6074
_cell_angle_alpha 105.80
_cell_angle_beta 111.34
_cell_angle_gamma 111.34
loop_
_symmetry_equiv_pos_as_xyz
'x,y,z'
loop_
_atom_site_label
_atom_site_type_symbol
_atom_site_fract_x
_atom_site_fract_y
_atom_site_fract_z
Sc1 Sc 0.5664 0.3750 0.4414
Pt1 Pt 0.5000 0.7500 0.2500
Sc2 Sc 0.0664 0.1914 0.6250
C1 C 0.0000 0.5000 0.5000
Pt2 Pt 0.0000 0.0000 0.0000
Sc3 Sc 0.4336 0.8750 0.8086
Sc4 Sc 0.9336 0.5586 0.1250
C2 C 0.5000 0.2500 0.7500
```

---

Record 3
Material: BaAgHg4
Method: DFT, GGA-PBEsol
State: optimized geometry

calculated formation energy	-1.193	eV per formula unit
D(E_F)	0.370	states/eV per atom
space group	No. 216
E	-0.0546	Ha/atom
magnetic moment	0.00	μB per formula unit

Geometry as CIF:
```
data_BaAgHg4
_symmetry_space_group_name_H-M 'P 1'
_symmetry_Int_Tables_number 1
_cell_length_a 5.9985
_cell_length_b 5.9985
_cell_length_c 5.9985
_cell_angle_alpha 60.00
_cell_angle_beta 60.00
_cell_angle_gamma 60.00
loop_
_symmetry_equiv_pos_as_xyz
'x,y,z'
loop_
_atom_site_label
_atom_site_type_symbol
_atom_site_fract_x
_atom_site_fract_y
_atom_site_fract_z
Hg1 Hg 0.3759 0.8722 0.3759
Ag1 Ag 0.7500 0.7500 0.7500
Ba1 Ba 0.0000 0.0000 0.0000
Hg2 Hg 0.3759 0.3759 0.3759
Hg3 Hg 0.8722 0.3759 0.3759
Hg4 Hg 0.3759 0.3759 0.8722
```

---

Record 4
Material: Bi3PRu
Method: DFT, GGA-PBEsol
State: optimized geometry

calculated formation energy	3.632	eV per formula unit
D(E_F)	0.751	states/eV per atom
distance to the lowest polymorph of the same formula	0	meV per atom
space group	No. 221
E	-0.1851	Ha/atom
magnetic moment	0.00	μB per formula unit

Geometry as CIF:
```
data_Bi3PRu
_symmetry_space_group_name_H-M 'P 1'
_symmetry_Int_Tables_number 1
_cell_length_a 5.1558
_cell_length_b 5.1558
_cell_length_c 5.1558
_cell_angle_alpha 90.00
_cell_angle_beta 90.00
_cell_angle_gamma 90.00
loop_
_symmetry_equiv_pos_as_xyz
'x,y,z'
loop_
_atom_site_label
_atom_site_type_symbol
_atom_site_fract_x
_atom_site_fract_y
_atom_site_fract_z
Bi1 Bi 0.5000 0.0000 0.0000
Bi2 Bi 0.0000 0.0000 0.5000
Bi3 Bi 0.0000 0.5000 0.0000
P1 P 0.5000 0.5000 0.5000
Ru1 Ru 0.0000 0.0000 0.0000
```

---

Record 5
Material: Ca3TcH
Method: DFT, GGA-PBEsol
State: optimized geometry

D(E_F)	0.586	states/eV per atom
space group	No. 221
E	-0.1421	Ha/atom
magnetic moment	0.00	μB per formula unit

Geometry as CIF:
```
data_Ca3TcH
_symmetry_space_group_name_H-M 'P 1'
_symmetry_Int_Tables_number 1
_cell_length_a 4.6583
_cell_length_b 4.6583
_cell_length_c 4.6583
_cell_angle_alpha 90.00
_cell_angle_beta 90.00
_cell_angle_gamma 90.00
loop_
_symmetry_equiv_pos_as_xyz
'x,y,z'
loop_
_atom_site_label
_atom_site_type_symbol
_atom_site_fract_x
_atom_site_fract_y
_atom_site_fract_z
Ca1 Ca 0.5000 0.0000 0.0000
H1 H 0.0000 0.0000 0.0000
Tc1 Tc 0.5000 0.5000 0.5000
Ca2 Ca 0.0000 0.5000 0.0000
Ca3 Ca 0.0000 0.0000 0.5000
```

---

Record 6
Material: Ta2TcOs
Method: DFT, GGA-PBEsol
State: optimized geometry

calculated formation energy	0.339	eV per formula unit
D(E_F)	1.243	states/eV per atom
space group	No. 35
E	-0.4432	Ha/atom
magnetic moment	0.00	μB per formula unit

Geometry as CIF:
```
data_Ta2TcOs
_symmetry_space_group_name_H-M 'P 1'
_symmetry_Int_Tables_number 1
_cell_length_a 2.7690
_cell_length_b 2.7690
_cell_length_c 8.8267
_cell_angle_alpha 90.00
_cell_angle_beta 90.00
_cell_angle_gamma 111.05
loop_
_symmetry_equiv_pos_as_xyz
'x,y,z'
loop_
_atom_site_label
_atom_site_type_symbol
_atom_site_fract_x
_atom_site_fract_y
_atom_site_fract_z
Ta1 Ta 0.0000 0.0000 0.0083
Os1 Os 0.5000 0.5000 0.2533
Tc1 Tc 0.0000 0.0000 0.4974
Ta2 Ta 0.5000 0.5000 0.7410
```

---

> The highest D(E_F) belongs to which entry?

Ta2TcOs